Entry 1:
Computed, not measured: a geometry-optimized Tl2HgW structure at the GGA-PBE level of DFT.

abc: 14.878 2.958 4.922
angles: 90.00 109.31 90.00
Space group Cm (No. 8)
Inequivalent atoms, fractional coordinates:
Tl1 0.000 0.000 0.000
Tl2 0.188 0.000 0.687
Hg1 0.324 0.500 0.325
W1 0.002 0.500 0.502

Summary:
ρ ... 12.885 Mg/m³
Energy of formation ... 0.737 eV per atom
Magnetic moment ... 0.4 μB/f.u.



Entry 2:
Computed, not measured: a geometry-optimized TiTl2Rh structure at the GGA-PBE level of DFT.

abc: 6.727 6.727 6.727
angles: 90.00 90.00 90.00
Space group Fm-3m (No. 225)
Inequivalent atoms, fractional coordinates:
Ti1 0.000 0.000 0.000
Tl1 0.250 0.250 0.250
Rh1 0.000 0.000 0.500

Summary:
ρ ... 12.209 Mg/m³
Energy of formation ... 0.147 eV per atom
Magnetic moment ... 0.0 μB/f.u.